Entry 1:
Density functional theory data (PBE) for Ho5Hg4Ru after structural relaxation.

Cell and atoms, written as POSCAR:
```
Ho5Hg4Ru
1.0
3.576 0.000 0.000
0.000 3.576 0.000
0.000 0.000 18.889
Ho Hg Ru
5 4 1
Cartesian
0.000 0.000 0.000
0.000 0.000 3.876
0.000 0.000 7.836
0.000 0.000 11.053
0.000 0.000 15.013
1.788 1.788 1.937
1.788 1.788 5.795
1.788 1.788 13.094
1.788 1.788 16.952
1.788 1.788 9.444
```

E: -3.813 eV/atom
Crystal system: tetragonal
Formation energy: -10.98 kcal/mol of atoms
DOS at the Fermi energy: 0.721 states/eV/atom

Entry 2:
Density functional theory data (PBE) for Pm4Sm5Al after structural relaxation.

Cell and atoms, written as POSCAR:
```
Pm4Sm5Al
1.0
-5.364 5.364 2.923
5.364 -5.364 2.923
5.364 5.364 -2.923
Pm Sm Al
4 5 1
Cartesian
3.342 0.000 0.000
7.387 0.000 0.000
0.000 3.342 0.000
0.000 7.387 0.000
0.000 0.000 1.147
3.398 3.398 0.041
1.966 -1.966 2.964
-1.966 1.966 2.964
1.966 1.966 2.964
0.000 0.000 4.188
```

E: -4.537 eV/atom
Crystal system: tetragonal
Formation energy: 2.24 kcal/mol of atoms
DOS at the Fermi energy: 1.311 states/eV/atom

Entry 3:
Density functional theory data (PBE) for K2NaAg after structural relaxation.

Cell and atoms, written as POSCAR:
```
K2NaAg
1.0
5.959 0.000 0.000
0.000 5.959 0.000
0.000 0.000 4.636
K Na Ag
2 1 1
Cartesian
0.000 2.979 0.000
2.979 0.000 0.000
0.000 0.000 2.318
2.979 2.979 2.318
```

E: -1.508 eV/atom
Crystal system: tetragonal
Formation energy: 1.93 kcal/mol of atoms
DOS at the Fermi energy: 0.504 states/eV/atom

Entry 4:
Density functional theory data (PBE) for Na4Nd3AlO8 after structural relaxation.

Cell and atoms, written as POSCAR:
```
Na4Nd3AlO8
1.0
6.066 -3.415 0.000
6.066 3.415 0.000
-3.822 0.000 5.671
Na Nd Al O
4 3 1 8
Cartesian
0.000 0.000 0.000
1.122 1.707 2.836
1.122 -1.707 2.836
6.066 0.000 0.000
-1.911 0.000 2.836
3.033 1.707 0.000
3.033 -1.707 0.000
4.155 0.000 2.836
1.970 0.000 1.228
-0.022 0.000 4.233
4.795 1.389 1.655
3.516 1.389 4.017
4.795 -1.389 1.655
3.516 -1.389 4.017
8.332 0.000 1.438
6.340 0.000 4.444
```

E: -6.382 eV/atom
Crystal system: monoclinic
DOS at the Fermi energy: 0.000 states/eV/atom
Formation energy from raw total energies: -2.446 eV per atom